[1]
Compound: CsCo
Source: Alexandria
Functional: PBE-GGA
Structure: optimized geometry

Unit cell a=12.734 b=12.734 c=4.537 alpha=90.00 beta=90.00 gamma=90.00
Last column: magnetic moment on the atom in μB.
Fractional positions:
Cs (0.675, 0.675, 0.500)  -0.01
Cs (0.675, 0.325, 0.500)  -0.01
Cs (0.325, 0.675, 0.500)  -0.01
Cs (0.325, 0.325, 0.500)  -0.01
Cs (0.257, 0.000, 0.000)  -0.02
Cs (0.743, 0.000, 0.000)  -0.02
Cs (0.000, 0.743, 0.000)  -0.02
Cs (0.000, 0.257, 0.000)  -0.02
Co (0.915, 0.500, 0.500)  1.82
Co (0.085, 0.500, 0.500)  1.82
Co (0.500, 0.085, 0.500)  1.82
Co (0.500, 0.915, 0.500)  1.82
Co (0.913, 0.500, 0.000)  1.76
Co (0.087, 0.500, 0.000)  1.76
Co (0.500, 0.087, 0.000)  1.76
Co (0.500, 0.913, 0.000)  1.76

Values from the calculation:
Calculated density ... 3.5 g/cm3
Polymorph energy (0 for the lowest one) ... 0 meV per atom


[2]
Compound: TiBe3Pt
Source: Alexandria
Functional: PBE-GGA
Structure: optimized geometry

Unit cell a=4.158 b=4.158 c=4.158 alpha=90.00 beta=90.00 gamma=90.00
Fractional positions:
Be (0.000, 0.500, 0.000)
Be (0.000, 0.000, 0.500)
Be (0.500, 0.000, 0.000)
Pt (0.000, 0.000, 0.000)
Ti (0.500, 0.500, 0.500)

Values from the calculation:
Calculated density ... 6.2 g/cm3
Polymorph energy (0 for the lowest one) ... 0 meV per atom


[3]
Compound: PrEr2TmSe4
Source: Alexandria
Functional: PBE-GGA
Structure: optimized geometry

Unit cell a=4.020 b=7.048 c=7.218 alpha=71.45 beta=90.00 gamma=90.00
Fractional positions:
Pr (0.500, 0.500, 0.000)
Er (0.000, 0.000, 0.000)
Er (0.500, 0.000, 0.500)
Tm (0.000, 0.500, 0.500)
Se (0.000, 0.763, 0.735)
Se (0.000, 0.237, 0.265)
Se (0.500, 0.755, 0.259)
Se (0.500, 0.245, 0.741)

Values from the calculation:
Calculated density ... 8.2 g/cm3
Formation energy without anion corrections ... -1713 meV per atom


[4]
Compound: NaSr2Rh
Source: Alexandria
Functional: PBE-GGA
Structure: optimized geometry

Unit cell a=3.734 b=3.734 c=9.656 alpha=90.00 beta=90.00 gamma=90.00
Fractional positions:
Sr (0.000, 0.000, 0.822)
Sr (0.000, 0.000, 0.178)
Rh (0.500, 0.500, 0.000)
Na (0.500, 0.500, 0.500)

Values from the calculation:
Calculated density ... 3.7 g/cm3
Polymorph energy (0 for the lowest one) ... 30 meV per atom